Record 1
# KAs2W2, PBEsol geometry, DFT SCAN
# ΔE_f   -197 meV per atom
# Magnetization   0.000 μB per formula unit
# VASP energy   -37.8142 eV per atom
data_KAs2W2
_cell_length_a 3.7621
_cell_length_b 3.7621
_cell_length_c 8.1736
_cell_angle_alpha 103.31
_cell_angle_beta 103.31
_cell_angle_gamma 90.00
_space_group_name_H-M_alt 'P 1'
_space_group_IT_number 1
_space_group_name_Hall 'P 1'
loop_
_atom_site_label
_atom_site_type_symbol
_atom_site_fract_x
_atom_site_fract_y
_atom_site_fract_z
W1 W 0.2500 0.7500 0.5000
W2 W 0.7500 0.2500 0.5000
K1 K 0.0000 0.0000 0.0000
As1 As 0.3672 0.3672 0.7343
As2 As 0.6328 0.6328 0.2657

***

Record 2
# MnMo2Ru, PBEsol geometry, DFT SCAN
# ΔE_f   131 meV per atom
# Relative energy among the computed polymorphs   0.168 eV/atom
# Magnetization   2.390 μB per formula unit
# VASP energy   -30.5822 eV per atom
data_MnMo2Ru
_cell_length_a 2.6962
_cell_length_b 4.2787
_cell_length_c 4.7978
_cell_angle_alpha 90.00
_cell_angle_beta 96.07
_cell_angle_gamma 90.00
_space_group_name_H-M_alt 'P 1'
_space_group_IT_number 1
_space_group_name_Hall 'P 1'
loop_
_atom_site_label
_atom_site_type_symbol
_atom_site_fract_x
_atom_site_fract_y
_atom_site_fract_z
Mo1 Mo 0.7701 0.5000 0.2732
Mo2 Mo 0.9942 0.0000 0.9657
Ru1 Ru 0.3885 0.0000 0.4779
Mn1 Mn 0.3473 0.5000 0.7832

***

Record 3
# Zr4InBr, PBEsol geometry, DFT SCAN
# Magnetization   0.000 μB per formula unit
# Formation energy from raw total energies   0.258 eV/atom
# VASP energy   -29.0150 eV per atom
data_Zr4InBr
_cell_length_a 5.7703
_cell_length_b 5.7703
_cell_length_c 5.7703
_cell_angle_alpha 60.00
_cell_angle_beta 60.00
_cell_angle_gamma 60.00
_space_group_name_H-M_alt 'P 1'
_space_group_IT_number 1
_space_group_name_Hall 'P 1'
loop_
_atom_site_label
_atom_site_type_symbol
_atom_site_fract_x
_atom_site_fract_y
_atom_site_fract_z
Zr1 Zr 0.3727 0.8819 0.3727
Zr2 Zr 0.3727 0.3727 0.3727
Zr3 Zr 0.8819 0.3727 0.3727
Zr4 Zr 0.3727 0.3727 0.8819
In1 In 0.0000 0.0000 0.0000
Br1 Br 0.7500 0.7500 0.7500

***

Record 4
# BeSi2RuW, PBEsol geometry, DFT SCAN
# Magnetization   2.424 μB per formula unit
# Formation energy from raw total energies   1.094 eV/atom
# VASP energy   -24.6855 eV per atom
data_BeSi2RuW
_cell_length_a 3.9470
_cell_length_b 4.4503
_cell_length_c 4.4503
_cell_angle_alpha 90.00
_cell_angle_beta 90.00
_cell_angle_gamma 90.00
_space_group_name_H-M_alt 'P 1'
_space_group_IT_number 1
_space_group_name_Hall 'P 1'
loop_
_atom_site_label
_atom_site_type_symbol
_atom_site_fract_x
_atom_site_fract_y
_atom_site_fract_z
Ru1 Ru 0.0000 0.0000 0.0000
Si1 Si 0.0000 0.0000 0.5000
Si2 Si 0.0000 0.5000 0.0000
W1 W 0.5000 0.5000 0.5000
Be1 Be 0.5000 0.0000 0.0000